No. 1
# Zr2NiW

An optimized crystal structure of Zr2NiW (PBE, Alexandria via LeMat-Bulk).

Relative energy among the computed polymorphs in eV/f.u.: 1.291
ΔH_f (0 K) in eV per atom: 0.206

Lattice parameters (Å, degrees): 4.622 4.622 4.622 60.00 60.00 60.00
Positions (direct):
W (0.750, 0.750, 0.750)
Zr (0.250, 0.250, 0.250)
Zr (0.000, 0.000, 0.000)
Ni (0.500, 0.500, 0.500)

No. 2
# CoTcI2N

An optimized crystal structure of CoTcI2N (PBE, Alexandria via LeMat-Bulk).

Energy relative to the elements, uncorrected in meV/atom: 819
Relative energy among the computed polymorphs in eV/f.u.: 0.000

Lattice parameters (Å, degrees): 5.524 5.524 3.734 90.00 90.00 90.00
Site moments in Bohr magnetons follow the coordinates.
Positions (direct):
I (0.000, 0.500, 0.000)  0.05
I (0.500, 0.000, 0.000)  0.05
Co (0.500, 0.500, 0.500)  2.10
N (0.000, 0.000, 0.500)  0.00
Tc (0.000, 0.000, 0.000)  -0.10

No. 3
# SrTlN2O

An optimized crystal structure of SrTlN2O (PBE, Alexandria via LeMat-Bulk).

Energy relative to the elements, uncorrected in meV/atom: 523

Lattice parameters (Å, degrees): 4.336 4.336 4.519 90.00 90.00 90.00
Site moments in Bohr magnetons follow the coordinates.
Positions (direct):
O (0.000, 0.000, 0.500)  0.33
Tl (0.000, 0.000, 0.000)  0.01
N (0.000, 0.500, 0.000)  0.71
Sr (0.500, 0.500, 0.500)  -0.01
N (0.500, 0.000, 0.000)  0.71

No. 4
# Pm3TmRu8

An optimized crystal structure of Pm3TmRu8 (PBE, Alexandria via LeMat-Bulk).

ΔH_f (0 K) in eV per atom: -0.213

Lattice parameters (Å, degrees): 5.370 5.370 9.360 73.33 73.33 60.00
Positions (direct):
Pm (0.374, 0.374, 0.878)
Ru (0.940, 0.940, 0.684)
Ru (0.436, 0.940, 0.684)
Ru (0.440, 0.440, 0.193)
Tm (0.874, 0.874, 0.377)
Ru (0.440, 0.927, 0.193)
Ru (0.690, 0.690, 0.930)
Ru (0.940, 0.436, 0.684)
Ru (0.190, 0.190, 0.429)
Pm (0.499, 0.499, 0.503)
Ru (0.927, 0.440, 0.193)
Pm (0.999, 0.999, 0.003)

No. 5
# Pr2SiAg

An optimized crystal structure of Pr2SiAg (PBE, Alexandria via LeMat-Bulk).

Energy relative to the elements, uncorrected in meV/atom: -430

Lattice parameters (Å, degrees): 4.443 6.237 8.297 111.50 90.00 90.00
Positions (direct):
Pr (0.750, 0.202, 0.421)
Si (0.250, 0.332, 0.709)
Ag (0.750, 0.630, 0.779)
Si (0.750, 0.668, 0.291)
Pr (0.250, 0.778, 0.068)
Pr (0.250, 0.798, 0.579)
Pr (0.750, 0.222, 0.932)
Ag (0.250, 0.370, 0.221)

No. 6
# Sm2BeRh2

An optimized crystal structure of Sm2BeRh2 (PBE, Alexandria via LeMat-Bulk).

ΔH_f (0 K) in eV per atom: -0.636

Lattice parameters (Å, degrees): 5.824 5.824 7.175 79.39 79.39 56.18
Positions (direct):
Sm (0.777, 0.517, 0.351)
Sm (0.517, 0.777, 0.851)
Rh (0.003, 0.250, 0.990)
Rh (0.250, 0.003, 0.490)
Sm (0.483, 0.223, 0.149)
Rh (0.997, 0.750, 0.010)
Sm (0.223, 0.483, 0.649)
Be (0.903, 0.097, 0.750)
Rh (0.750, 0.997, 0.510)
Be (0.097, 0.903, 0.250)

No. 7
# Ho6Ga2Sb

An optimized crystal structure of Ho6Ga2Sb (PBE, Alexandria via LeMat-Bulk).

Energy relative to the elements, uncorrected in meV/atom: -508

Lattice parameters (Å, degrees): 8.579 8.579 8.579 103.96 112.85 111.75
Positions (direct):
Ho (0.459, 0.276, 0.183)
Ho (0.796, 0.243, 0.039)
Ho (0.093, 0.276, 0.817)
Ho (0.702, 0.024, 0.322)
Ho (0.298, 0.976, 0.678)
Ho (0.204, 0.243, 0.446)
Ho (0.907, 0.724, 0.183)
Sb (0.000, 0.500, 0.500)
Ga (0.500, 0.380, 0.880)
Ho (0.204, 0.757, 0.961)
Ga (0.644, 0.000, 0.644)
Ga (0.500, 0.620, 0.120)
Sb (0.000, 0.000, 0.000)
Ho (0.298, 0.620, 0.322)
Ho (0.702, 0.380, 0.678)
Ga (0.356, 0.000, 0.356)
Ho (0.541, 0.724, 0.817)
Ho (0.796, 0.757, 0.554)

No. 8
# PuBeTlO6

An optimized crystal structure of PuBeTlO6 (PBE, Alexandria via LeMat-Bulk).

Energy relative to the elements, uncorrected in meV/atom: -1705

Lattice parameters (Å, degrees): 5.092 5.092 9.772 90.00 90.00 120.00
Site moments in Bohr magnetons follow the coordinates.
Positions (direct):
Tl (0.000, 0.000, 0.500)  0.00
O (0.019, 0.370, 0.641)  -0.06
O (0.019, 0.649, 0.859)  -0.06
Tl (0.000, 0.000, 0.000)  0.00
O (0.649, 0.019, 0.359)  -0.06
Pu (0.333, 0.667, 0.250)  1.41
O (0.981, 0.351, 0.141)  -0.06
O (0.351, 0.370, 0.859)  -0.06
O (0.630, 0.649, 0.641)  -0.06
O (0.351, 0.981, 0.641)  -0.06
Be (0.333, 0.667, 0.750)  0.00
O (0.370, 0.019, 0.141)  -0.06
O (0.981, 0.630, 0.359)  -0.06
Pu (0.667, 0.333, 0.750)  1.41
O (0.649, 0.630, 0.141)  -0.06
Be (0.667, 0.333, 0.250)  0.00
O (0.370, 0.351, 0.359)  -0.06
O (0.630, 0.981, 0.859)  -0.06

No. 9
# Sm2NiGe4Ir3

An optimized crystal structure of Sm2NiGe4Ir3 (PBE, Alexandria via LeMat-Bulk).

ΔH_f (0 K) in eV per atom: -0.719

Lattice parameters (Å, degrees): 4.246 4.246 10.106 90.00 90.00 90.00
Positions (direct):
Ir (0.000, 0.000, 0.500)
Ge (0.500, 0.500, 0.000)
Sm (0.000, 0.500, 0.753)
Ir (0.500, 0.000, 0.870)
Ge (0.500, 0.000, 0.628)
Ge (0.000, 0.000, 0.000)
Ni (0.500, 0.500, 0.500)
Ge (0.000, 0.500, 0.372)
Ir (0.000, 0.500, 0.130)
Sm (0.500, 0.000, 0.247)

No. 10
# Ca3GeI8

An optimized crystal structure of Ca3GeI8 (PBE, Alexandria via LeMat-Bulk).

Energy relative to the elements, uncorrected in meV/atom: -1297

Lattice parameters (Å, degrees): 8.980 8.980 9.407 118.92 90.00 120.00
Positions (direct):
I (0.237, 0.989, 0.223)
Ge (0.000, 0.000, 0.000)
Ca (0.000, 0.500, 0.000)
I (0.248, 0.011, 0.777)
I (0.744, 0.488, 0.229)
I (0.763, 0.011, 0.777)
Ca (0.500, 0.500, 0.000)
I (0.763, 0.526, 0.777)
Ca (0.500, 0.000, 0.000)
I (0.237, 0.474, 0.223)
I (0.752, 0.989, 0.223)
I (0.256, 0.512, 0.771)

No. 11
# Mn3CrPt12

An optimized crystal structure of Mn3CrPt12 (PBE, Alexandria via LeMat-Bulk).

ΔH_f (0 K) in eV per atom: -0.339

Lattice parameters (Å, degrees): 3.925 3.925 15.718 90.00 90.00 90.00
Site moments in Bohr magnetons follow the coordinates.
Positions (direct):
Pt (0.500, 0.500, 0.249)  0.13
Pt (0.000, 0.500, 0.877)  0.03
Pt (0.500, 0.000, 0.877)  0.03
Mn (0.000, 0.000, 0.250)  3.79
Pt (0.500, 0.000, 0.123)  0.03
Pt (0.000, 0.500, 0.625)  0.13
Pt (0.000, 0.500, 0.123)  0.03
Pt (0.500, 0.000, 0.625)  0.13
Pt (0.500, 0.500, 0.000)  0.01
Mn (0.000, 0.000, 0.750)  3.79
Pt (0.500, 0.000, 0.375)  0.13
Mn (0.000, 0.000, 0.500)  3.77
Pt (0.000, 0.500, 0.375)  0.13
Pt (0.500, 0.500, 0.751)  0.13
Pt (0.500, 0.500, 0.500)  0.14
Cr (0.000, 0.000, 0.000)  2.63

No. 12
# Zr2PbCl2

An optimized crystal structure of Zr2PbCl2 (PBE, Alexandria via LeMat-Bulk).

Energy relative to the elements, uncorrected in meV/atom: -414
Relative energy among the computed polymorphs in eV/f.u.: 1.192

Lattice parameters (Å, degrees): 8.165 8.165 3.167 90.00 90.00 90.00
Positions (direct):
Cl (0.627, 0.873, 0.500)
Zr (0.667, 0.167, 0.000)
Cl (0.127, 0.627, 0.500)
Cl (0.373, 0.127, 0.500)
Zr (0.833, 0.667, 0.000)
Cl (0.873, 0.373, 0.500)
Pb (0.500, 0.500, 0.000)
Zr (0.167, 0.333, 0.000)
Zr (0.333, 0.833, 0.000)
Pb (0.000, 0.000, 0.000)

No. 13
# ReNi2Os

An optimized crystal structure of ReNi2Os (PBE, Alexandria via LeMat-Bulk).

Relative energy among the computed polymorphs in eV/f.u.: 1.220
ΔH_f (0 K) in eV per atom: 0.314

Lattice parameters (Å, degrees): 4.160 4.160 4.160 60.00 60.00 60.00
Positions (direct):
Re (0.000, 0.000, 0.000)
Os (0.500, 0.500, 0.500)
Ni (0.750, 0.750, 0.750)
Ni (0.250, 0.250, 0.250)

No. 14
# Sb2IrF

An optimized crystal structure of Sb2IrF (PBE, Alexandria via LeMat-Bulk).

Energy relative to the elements, uncorrected in meV/atom: -395
Relative energy among the computed polymorphs in eV/f.u.: 1.127

Lattice parameters (Å, degrees): 5.544 5.544 7.635 68.71 68.71 90.00
Positions (direct):
Sb (0.875, 0.883, 0.750)
Sb (0.633, 0.125, 0.250)
Ir (0.000, 0.000, 0.000)
F (0.500, 0.500, 0.000)
Ir (0.750, 0.250, 0.500)
Sb (0.375, 0.367, 0.750)
F (0.250, 0.750, 0.500)
Sb (0.117, 0.625, 0.250)

No. 15
# Co8Cu

An optimized crystal structure of Co8Cu (PBE, Alexandria via LeMat-Bulk).

Relative energy among the computed polymorphs in eV/f.u.: 1.860
ΔH_f (0 K) in eV per atom: 0.257

Lattice parameters (Å, degrees): 2.422 7.159 7.159 117.91 80.26 80.26
Site moments in Bohr magnetons follow the coordinates.
Positions (direct):
Co (0.177, 0.998, 0.649)  1.62
Co (0.823, 0.002, 0.351)  1.62
Cu (0.000, 0.000, 0.000)  0.09
Co (0.000, 0.651, 0.349)  1.53
Co (0.663, 0.337, 0.337)  1.60
Co (0.177, 0.649, 0.998)  1.62
Co (0.000, 0.349, 0.651)  1.53
Co (0.337, 0.663, 0.663)  1.60
Co (0.823, 0.351, 0.002)  1.62

Taking the records one at a time from the top gives magnetic moment values of 0.0002 0.4267 0.4835 0.0000 0.0356 0.0000 0.0000 0.1111 0.0042 0.0000 0.9662 0.0000 0.0000 0.0000 1.4063 μB/atom.